1.
An optimized crystal structure of ScUPd14. Source: Alexandria, functional PBE.

```
data_ScUPd14
_space_group_name_H-M_alt 'P 4/m m m'
_space_group_IT_number 123
_space_group_name_Hall '-P 4 2'
_cell_length_a 5.739
_cell_length_b 5.739
_cell_length_c 7.808
_cell_angle_alpha 90.00
_cell_angle_beta 90.00
_cell_angle_gamma 90.00
loop_
_atom_site_label
_atom_site_fract_x
_atom_site_fract_y
_atom_site_fract_z
Sc1 0.000 0.000 0.000
U1 0.500 0.500 0.000
Pd1 0.000 0.000 0.500
Pd2 0.000 0.500 0.000
Pd3 0.000 0.500 0.500
Pd4 0.251 0.251 0.248
Pd5 0.500 0.500 0.500
```



2.
An optimized crystal structure of Sc3UPd12. Source: Alexandria, functional PBE.

```
data_Sc3UPd12
_space_group_name_H-M_alt 'P 4/m m m'
_space_group_IT_number 123
_space_group_name_Hall '-P 4 2'
_cell_length_a 4.050
_cell_length_b 4.050
_cell_length_c 16.068
_cell_angle_alpha 90.00
_cell_angle_beta 90.00
_cell_angle_gamma 90.00
loop_
_atom_site_label
_atom_site_fract_x
_atom_site_fract_y
_atom_site_fract_z
Sc1 0.000 0.000 0.000
Sc2 0.000 0.000 0.242
U1 0.000 0.000 0.500
Pd1 0.000 0.500 0.124
Pd2 0.000 0.500 0.373
Pd3 0.500 0.500 0.000
Pd4 0.500 0.500 0.248
Pd5 0.500 0.500 0.500
```



3.
An optimized crystal structure of ScUPd6. Source: Alexandria, functional PBE.

```
data_ScUPd6
_space_group_name_H-M_alt 'P 4/m m m'
_space_group_IT_number 123
_space_group_name_Hall '-P 4 2'
_cell_length_a 4.076
_cell_length_b 4.076
_cell_length_c 8.124
_cell_angle_alpha 90.00
_cell_angle_beta 90.00
_cell_angle_gamma 90.00
loop_
_atom_site_label
_atom_site_fract_x
_atom_site_fract_y
_atom_site_fract_z
Sc1 0.000 0.000 0.000
U1 0.000 0.000 0.500
Pd1 0.000 0.500 0.246
Pd2 0.500 0.500 0.000
Pd3 0.500 0.500 0.500
```



4.
An optimized crystal structure of ScU2Pd9. Source: Alexandria, functional PBE.

```
data_ScU2Pd9
_space_group_name_H-M_alt 'P 4/m m m'
_space_group_IT_number 123
_space_group_name_Hall '-P 4 2'
_cell_length_a 4.104
_cell_length_b 4.104
_cell_length_c 12.272
_cell_angle_alpha 90.00
_cell_angle_beta 90.00
_cell_angle_gamma 90.00
loop_
_atom_site_label
_atom_site_fract_x
_atom_site_fract_y
_atom_site_fract_z
Sc1 0.000 0.000 0.000
U1 0.000 0.000 0.328
Pd1 0.000 0.500 0.162
Pd2 0.000 0.500 0.500
Pd3 0.500 0.500 0.000
Pd4 0.500 0.500 0.331
```



Number 1: ΔE_f -6.38 eV per formula unit. Number 2: ΔE_f -12.53 eV per formula unit. Number 3: ΔE_f -5.72 eV per formula unit. Number 4: ΔE_f -7.76 eV per formula unit.